Zn4Pd2Au5 after structural relaxation. Source: Alexandria via LeMat-Bulk, functional PBE-GGA.

Calculated values
Uncorrected energy   -3.017 eV per atom
SG   Immm, No. 71
Energy of formation from the pure elements   -0.1194 eV/atom

Cell: 4.196 8.451 7.446 Å, 124.58 106.37 90.00°
Fractional positions:
1 Au 0.500 0.000 0.000
2 Zn 0.000 0.213 0.000
3 Pd 0.837 0.837 0.675
4 Zn 0.000 0.787 0.000
5 Pd 0.163 0.163 0.325
6 Au 0.203 0.541 0.405
7 Au 0.203 0.865 0.405
8 Au 0.797 0.459 0.595
9 Au 0.797 0.135 0.595
10 Zn 0.609 0.609 0.217
11 Zn 0.391 0.391 0.783